#one
First-principles (PBE) data for an optimized crystal structure of MgGeO2, as listed in Alexandria.

Cell lengths 3.993, 3.993, 3.993 Å; angles 60.00, 60.00, 60.00 degrees
Fractional positions:
1 Mg 0.000 0.000 0.000
2 O 0.750 0.750 0.750
3 O 0.250 0.250 0.250
4 Ge 0.500 0.500 0.500

**Crystal system**: cubic
**Density of states at the Fermi level**: 0.000 states/eV per atom
**SG**: Fm-3m, No. 225

---

#two
First-principles (PBE) data for an optimized crystal structure of MgGeO2, as listed in Alexandria.

Cell lengths 6.090, 6.090, 6.090 Å; angles 28.49, 28.49, 28.49 degrees
Fractional positions:
1 O 0.104 0.104 0.104
2 O 0.896 0.896 0.896
3 Mg 0.500 0.500 0.500
4 Ge 0.000 0.000 0.000

**Crystal system**: trigonal
**Density of states at the Fermi level**: 0.000 states/eV per atom
**SG**: R-3m, No. 166

---

#two wins, 674 meV per atom ahead of the next structure.

---

#one
First-principles (PBE) data for an optimized crystal structure of MgGe2O, as listed in Alexandria.

Cell lengths 4.722, 4.722, 7.579 Å; angles 71.85, 71.85, 90.00 degrees
Fractional positions:
1 Ge 0.875 0.752 0.750
2 Ge 0.375 0.498 0.750
3 Ge 0.248 0.625 0.250
4 Ge 0.502 0.125 0.250
5 Mg 0.000 0.000 0.000
6 Mg 0.750 0.250 0.500
7 O 0.250 0.750 0.500
8 O 0.500 0.500 0.000

**Crystal system**: tetragonal
**Density of states at the Fermi level**: 0.231 states/eV per atom
**SG**: I-42d, No. 122

---

#two
First-principles (PBE) data for an optimized crystal structure of MgGe2O, as listed in Alexandria.

Cell lengths 4.526, 4.526, 4.526 Å; angles 60.00, 60.00, 60.00 degrees
Fractional positions:
1 Ge 0.750 0.750 0.750
2 Ge 0.250 0.250 0.250
3 Mg 0.500 0.500 0.500
4 O 0.000 0.000 0.000

**Crystal system**: cubic
**Density of states at the Fermi level**: 0.525 states/eV per atom
**SG**: Fm-3m, No. 225

---

#one wins, 504 meV per atom ahead of the next structure.

---

#one
First-principles (PBE) data for an optimized crystal structure of MgGePO2, as listed in Alexandria.

Cell lengths 3.711, 3.711, 5.202 Å; angles 90.00, 90.00, 90.00 degrees
Fractional positions:
1 O 0.000 0.500 0.000
2 O 0.500 0.000 0.000
3 Ge 0.000 0.000 0.000
4 P 0.000 0.000 0.500
5 Mg 0.500 0.500 0.500

**Crystal system**: tetragonal
**Density of states at the Fermi level**: 0.774 states/eV per atom
**SG**: P4/mmm, No. 123

---

#two
First-principles (PBE) data for an optimized crystal structure of MgGePO2, as listed in Alexandria.

Cell lengths 3.813, 3.813, 5.382 Å; angles 90.00, 90.00, 90.00 degrees
Each line ends with the local moment (μB).
Fractional positions:
1 O 0.500 0.000 0.000  0.64
2 O 0.000 0.500 0.000  0.64
3 P 0.000 0.000 0.500  0.23
4 Ge 0.500 0.500 0.500  -0.03
5 Mg 0.000 0.000 0.000  -0.01

**Crystal system**: tetragonal
**Density of states at the Fermi level**: 0.651 states/eV per atom
**SG**: P4/mmm, No. 123

---

#one wins, 370 meV per atom ahead of the next structure.